# 1
11
Lattice="-1.3117 5.3527 3.2231 -2.7233 -5.5039 1.7090 7.5143 0.5706 2.1106" Properties=species:S:1:pos:R:3 comment="Rb2BaGe2O6 (PBE, relaxed)" final_energy_ev_per_atom=-5.7075 spacegroup="No. 12" pbc="T T T"
O 1.4769 1.3748 1.2511
O 3.2394 1.6107 4.9665
O 2.0024 -0.9554 5.7915
O 0.2399 -1.1914 2.0762
O 0.7737 4.2444 2.9791
O 2.7056 -3.8251 4.0636
Ge 2.2081 0.7300 6.0095
Ge 1.2712 -0.3106 1.0332
Rb 4.7683 -1.1916 3.9195
Rb -1.2890 1.6109 3.1232
Ba 3.1013 2.9616 2.6668

# 2
4
Lattice="-2.4388 2.1075 4.0204 -3.4615 -2.7521 2.6452 1.0776 -1.5807 4.7847" Properties=species:S:1:pos:R:3 comment="TbGdTmRu (PBE, relaxed)" final_energy_ev_per_atom=-8.0314 spacegroup="No. 216" ef_ev_per_fu=0.3 pbc="T T T"
Gd 0.0000 0.0000 0.0000
Tb -2.4113 -1.1126 5.7251
Ru -1.2057 -0.5563 2.8626
Tm -3.6170 -1.6690 8.5877

# 3
15
Lattice="-4.1984 1.3823 0.4413 -0.3711 -2.3289 3.7644 6.1098 15.3352 10.0896" Properties=species:S:1:pos:R:3 comment="Th4Cu3Sb8 (PBE, relaxed)" final_energy_ev_per_atom=-5.6387 spacegroup="No. 115" pbc="T T T"
Sb 4.6052 11.5588 7.6049
Sb 2.3833 5.2833 6.1244
Sb 1.4417 9.5786 6.0680
Sb 1.5046 3.7764 2.4846
Sb -1.6536 1.8097 0.9566
Sb 5.4786 13.0522 11.2358
Sb -0.7817 3.2993 4.5849
Sb 2.3220 11.0894 9.7103
Th 3.6445 8.4488 8.2071
Th 0.5323 0.6374 3.0677
Th 0.1805 6.4131 3.9853
Th 3.2927 14.2245 9.1247
Cu 0.0000 0.0000 0.0000
Cu 3.0549 7.6676 5.0448
Cu 0.7701 7.1943 7.1476